First-principles (PBE) data for a relaxed In2Ge2Te crystal, as listed in Alexandria via LeMat-Bulk.

Computed properties:
- offset from the most stable computed form (meV per atom) = 103
- calculated total energy (eV per atom) = -3.3822
- space-group type = P4/mbm
- total magnetic moment (μB/cell) = 0.0
- density of states at the Fermi level (states/eV/atom) = 0.597
- crystal system = tetragonal
- E_form (uncorrected) (eV per atom) = 0.188

```
In2Ge2Te
1.0
9.056 0.000 0.000
0.000 9.056 0.000
0.000 0.000 3.108
Ge In Te
4 4 2
Direct
0.603 0.897 0.500 Ge
0.897 0.397 0.500 Ge
0.397 0.103 0.500 Ge
0.103 0.603 0.500 Ge
0.807 0.693 0.000 In
0.193 0.307 0.000 In
0.693 0.193 0.000 In
0.307 0.807 0.000 In
0.500 0.500 0.000 Te
0.000 0.000 0.000 Te
```